Below is Ca2Si2Rh after structural relaxation, with properties calculated at the GGA-PBE level.

- Formation energy from raw total energies: -0.619 eV/atom

Cell: 6.568 6.568 4.601 Å, 90.00 90.00 90.00°
Sites, in units of the cell vectors:
Ca 0.823 0.323 0.500
Ca 0.177 0.677 0.500
Ca 0.323 0.177 0.500
Ca 0.677 0.823 0.500
Si 0.132 0.368 0.000
Si 0.868 0.632 0.000
Si 0.632 0.132 0.000
Si 0.368 0.868 0.000
Rh 0.000 0.000 0.000
Rh 0.500 0.500 0.000



Below is CaSiRh2 after structural relaxation, with properties calculated at the GGA-PBE level.

- Formation energy from raw total energies: -0.467 eV/atom

Cell: 4.327 4.327 3.327 Å, 90.01 90.01 90.00°
Sites, in units of the cell vectors:
Si 0.500 0.000 0.500
Ca 0.000 0.500 0.500
Rh 0.000 0.000 0.000
Rh 0.500 0.500 0.000



Below is CaSiRh3 after structural relaxation, with properties calculated at the GGA-PBE level.

- ΔE to the lowest computed polymorph: 0 meV/atom
- Formation energy from raw total energies: -0.406 eV/atom

Cell: 4.493 4.493 4.493 Å, 90.00 90.00 90.00°
Sites, in units of the cell vectors:
Rh 0.500 0.000 0.000
Rh 0.000 0.500 0.000
Rh 0.000 0.000 0.500
Si 0.000 0.000 0.000
Ca 0.500 0.500 0.500



Number 1: volume 198.5 Å³ per cell. Number 2: volume 62.3 Å³ per cell. Number 3: volume 90.7 Å³ per cell.